No. 1
This record from Alexandria describes crystalline YTa3Ga at its relaxed geometry. The functional is PBE.

## Properties
Uncorrected energy ... -6.66 eV/atom
Total moment ... 0.00 μB/f.u.
Energy relative to the elements ... 2.354 eV per atom

Unit cell a=4.932 b=4.932 c=4.932 alpha=90.00 beta=90.00 gamma=90.00
Atoms (fractional coordinates):
Y 0.000 0.000 0.000
Ta 0.500 0.000 0.000
Ga 0.500 0.500 0.500
Ta 0.000 0.500 0.000
Ta 0.000 0.000 0.500

No. 2
This record from Alexandria describes crystalline BaNiAg2 at its relaxed geometry. The functional is PBE.

## Properties
Uncorrected energy ... -3.11 eV/atom
Total moment ... 0.48 μB/f.u.
Energy relative to the elements ... 0.243 eV per atom

Unit cell a=3.453 b=3.453 c=7.513 alpha=90.00 beta=90.00 gamma=90.01
Each line ends with the local moment (μB).
Atoms (fractional coordinates):
Ag 0.000 0.000 0.930  0.00
Ni 0.500 0.500 0.750  0.44
Ba 0.500 0.500 0.250  0.02
Ag 0.000 0.000 0.570  0.00

No. 3
This record from Alexandria describes crystalline MgSb2Cl at its relaxed geometry. The functional is PBE.

## Properties
Uncorrected energy ... -3.12 eV/atom
Total moment ... 0.00 μB/f.u.
Formation energy (no corrections) ... -0.195 eV per atom

Unit cell a=5.198 b=5.198 c=5.198 alpha=120.19 beta=120.19 gamma=89.66
Atoms (fractional coordinates):
Sb 0.000 0.000 0.000
Mg 0.750 0.250 0.500
Sb 0.250 0.750 0.500
Cl 0.500 0.500 0.000